[1]
The following is a DFT calculation (PBE) of MgCrCd4 after structural relaxation.

The structure belongs to space group F-43m (No. 216); the cell edges are 8.037, 8.037 and 8.037 Å and the angles 90.00°, 90.00° and 90.00°. The distinct sites, in fractional coordinates, are Mg at (0.000, 0.000, 0.000), Cr at (0.250, 0.250, 0.250) and Cd at (0.125, 0.125, 0.625).

For the total energy, the calculation gives -13.526 eV/f.u. The calculation puts the size of the total moment at 0.7071 μB/atom. The formation energy comes out at 0.23 eV per atom.

***

[2]
The following is a DFT calculation (PBE) of MgCrCd after structural relaxation.

The structure belongs to space group P3m1 (No. 156); the cell edges are 4.7506, 4.7506 and 2.9990 Å and the angles 90.00°, 90.00° and 120.00°. The distinct sites, in fractional coordinates, are Mg at (0.0000, 0.0000, 0.0000), Cr at (0.6667, 0.3333, 0.6328) and Cd at (0.3333, 0.6667, 0.2906).

For the total energy, the calculation gives -11.148 eV/f.u. As for the energy above the most stable polymorph in this dataset: 35 meV per atom. The calculation puts the size of the total moment at 1.3700 μB/atom. The formation energy comes out at 0.33 eV per atom.

***

[3]
The following is a DFT calculation (PBE) of MgCr2Cd after structural relaxation.

The structure belongs to space group I4/mmm (No. 139); the cell edges are 3.696, 3.696 and 8.909 Å and the angles 90.00°, 90.00° and 90.00°. The distinct sites, in fractional coordinates, are Mg at (0.000, 0.000, 0.000), Cr at (0.000, 0.500, 0.250) and Cd at (0.000, 0.000, 0.500).

For the total energy, the calculation gives -19.320 eV/f.u. The calculation puts the size of the total moment at 0.1371 μB/atom. The formation energy comes out at 0.61 eV per atom.

***

[4]
The following is a DFT calculation (PBE) of MgCrCd2Ru after structural relaxation.

The structure belongs to space group P4/mmm (No. 123); the cell edges are 5.032, 5.032 and 4.936 Å and the angles 90.00°, 90.00° and 90.00°. The distinct sites, in fractional coordinates, are Mg at (0.000, 0.000, 0.000), Cr at (0.000, 0.000, 0.500), Cd at (0.000, 0.500, 0.500) and Ru at (0.500, 0.500, 0.000).

For the total energy, the calculation gives -15.424 eV/f.u. The calculation puts the size of the total moment at 1.2762 μB/atom. The formation energy comes out at 1.38 eV per atom.

***

[5]
The following is a DFT calculation (PBE) of MgCrCdSe2 after structural relaxation.

The structure belongs to space group P4/mmm (No. 123); the cell edges are 5.053, 5.053 and 5.255 Å and the angles 90.00°, 90.00° and 90.00°. The distinct sites, in fractional coordinates, are Mg at (0.000, 0.000, 0.000), Cr at (0.500, 0.500, 0.500), Cd at (0.000, 0.000, 0.500) and Se at (0.000, 0.500, 0.000).

For the total energy, the calculation gives -17.260 eV/f.u. The formation energy (no corrections) is 0.37 eV per atom. The calculation puts the size of the total moment at 0.8523 μB/atom.

***

[6]
The following is a DFT calculation (PBE) of MgCrCd2Se after structural relaxation.

The structure belongs to space group P4/mmm (No. 123); the cell edges are 5.459, 5.459 and 4.914 Å and the angles 90.00°, 90.00° and 90.00°. The distinct sites, in fractional coordinates, are Mg at (0.000, 0.000, 0.000), Cr at (0.500, 0.500, 0.500), Cd at (0.000, 0.500, 0.000) and Se at (0.000, 0.000, 0.500).

For the total energy, the calculation gives -13.606 eV/f.u. The formation energy (no corrections) is 0.59 eV per atom. The calculation puts the size of the total moment at 1.0555 μB/atom.

***

[7]
The following is a DFT calculation (PBE) of Mg2CrCdSn after structural relaxation.

The structure belongs to space group P4/mmm (No. 123); the cell edges are 5.141, 5.141 and 5.145 Å and the angles 90.00°, 90.00° and 90.00°. The distinct sites, in fractional coordinates, are Mg at (0.000, 0.500, 0.000), Cr at (0.000, 0.000, 0.500), Cd at (0.000, 0.000, 0.000) and Sn at (0.500, 0.500, 0.500).

For the total energy, the calculation gives -14.595 eV/f.u. The calculation puts the size of the total moment at 0.8258 μB/atom. The formation energy comes out at 0.63 eV per atom.

***

[8]
The following is a DFT calculation (PBE) of MgCrCd2Sn after structural relaxation.

The structure belongs to space group P4/mmm (No. 123); the cell edges are 5.524, 5.524 and 5.282 Å and the angles 90.00°, 90.00° and 90.00°. The distinct sites, in fractional coordinates, are Mg at (0.000, 0.000, 0.000), Cr at (0.500, 0.500, 0.000), Cd at (0.000, 0.500, 0.500) and Sn at (0.500, 0.500, 0.500).

For the total energy, the calculation gives -13.591 eV/f.u. The calculation puts the size of the total moment at 0.8715 μB/atom. The formation energy comes out at 0.69 eV per atom.

***

Q: Look up the size of the total moment of the fourth one.
A: 1.2762 μB/atom

***

Q: What is the formula in the sixth record?
A: MgCrCd2Se